Compound: Dy5Y7
Source: Alexandria via LeMat-Bulk
Functional: PBE-GGA
Structure: optimized geometry

```
Dy5Y7
1.0
9.290 -1.786 0.000
9.290 1.786 0.000
-6.194 0.000 11.539
Dy Y
5 7
direct
0.000 0.000 0.000 Dy
0.167 0.167 0.501 Dy
0.306 0.306 0.251 Dy
0.694 0.694 0.749 Dy
0.833 0.833 0.499 Dy
0.028 0.028 0.750 Y
0.333 0.333 0.999 Y
0.361 0.361 0.750 Y
0.500 0.500 0.500 Y
0.639 0.639 0.250 Y
0.667 0.667 0.001 Y
0.972 0.972 0.250 Y
```

Summary:
energy above the lowest structure with this stoichiometry = 0 meV per atom
electronic total energy = -68.19 eV/cell
space-group type = C2/m
size of the total moment = 0.000 μB per formula unit
ΔE_f = 0.006 eV/atom

=====

Compound: Dy3Y7
Source: Alexandria via LeMat-Bulk
Functional: PBE-GGA
Structure: optimized geometry

```
Dy3Y7
1.0
10.800 0.000 0.000
-5.400 9.353 0.000
0.000 0.000 6.459
Dy Y
6 14
direct
0.205 0.409 0.000 Dy
0.205 0.795 0.000 Dy
0.409 0.205 0.500 Dy
0.591 0.795 0.000 Dy
0.795 0.205 0.500 Dy
0.795 0.591 0.500 Dy
0.060 0.530 0.342 Y
0.120 0.241 0.520 Y
0.120 0.880 0.520 Y
0.241 0.120 0.020 Y
0.333 0.667 0.656 Y
0.470 0.530 0.342 Y
0.470 0.940 0.342 Y
0.530 0.060 0.842 Y
0.530 0.470 0.842 Y
0.667 0.333 0.156 Y
0.759 0.880 0.520 Y
0.880 0.120 0.020 Y
0.880 0.759 0.020 Y
0.940 0.470 0.842 Y
```

Summary:
energy above the lowest structure with this stoichiometry = 135 meV per atom
electronic total energy = -114.44 eV/cell
space-group type = P6_3mc
size of the total moment = 0.001 μB per formula unit
ΔE_f = 0.184 eV/atom

=====

Compound: DyY
Source: Alexandria via LeMat-Bulk
Functional: PBE-GGA
Structure: optimized geometry

```
DyY
1.0
5.638 0.000 0.000
0.000 3.638 0.000
0.000 0.000 6.303
Dy Y
2 2
direct
0.250 0.000 0.166 Dy
0.750 0.000 0.834 Dy
0.250 0.500 0.667 Y
0.750 0.500 0.333 Y
```

Summary:
energy above the lowest structure with this stoichiometry = 0 meV per atom
electronic total energy = -22.12 eV/cell
space-group type = Pmma
size of the total moment = 0.000 μB per formula unit
ΔE_f = 0.004 eV/atom

=====

Among the records above, which one has the highest electronic total energy?
DyY

=====

energy above the lowest structure with this stoichiometry of number 3 (DyY)?
0 meV per atom

=====

Look up the electronic total energy of the second one.
-114.44 eV/cell